# BaCd2Ir, relaxed, DFT PBE
data_BaCd2Ir
_chemical_formula_sum 'Ba2 Cd4 Ir2'
_space_group_name_H-M_alt 'I -4 m 2'
_space_group_IT_number 119
_space_group_name_Hall 'I -4 -2'
_cell_length_a 5.220
_cell_length_b 5.220
_cell_length_c 7.421
_cell_angle_alpha 90.00
_cell_angle_beta 90.00
_cell_angle_gamma 90.00
loop_
_atom_site_label
_atom_site_fract_x
_atom_site_fract_y
_atom_site_fract_z
Ba1 0.000 0.000 0.000
Cd1 0.000 0.000 0.500
Cd2 0.000 0.500 0.250
Ir1 0.000 0.500 0.750
# Spin magnetization ... 0.0 μB/cell

---

# Ba6CdIr2, relaxed, DFT PBE
data_Ba6CdIr2
_chemical_formula_sum 'Ba12 Cd2 Ir4'
_space_group_name_H-M_alt 'C 1 2/m 1'
_space_group_IT_number 12
_space_group_name_Hall '-C 2y'
_cell_length_a 15.529
_cell_length_b 6.126
_cell_length_c 10.735
_cell_angle_alpha 90.00
_cell_angle_beta 120.20
_cell_angle_gamma 90.00
loop_
_atom_site_label
_atom_site_fract_x
_atom_site_fract_y
_atom_site_fract_z
Ba1 0.024 0.000 0.195
Ba2 0.159 0.500 0.600
Ba3 0.207 0.500 0.082
Cd1 0.000 0.000 0.500
Ir1 0.176 0.000 0.098
# Spin magnetization ... 0.0 μB/cell

---

# Ba4CdIr, relaxed, DFT PBE
data_Ba4CdIr
_chemical_formula_sum 'Ba16 Cd4 Ir4'
_space_group_name_H-M_alt 'C 1 2/c 1'
_space_group_IT_number 15
_space_group_name_Hall '-C 2yc'
_cell_length_a 10.477
_cell_length_b 15.159
_cell_length_c 7.429
_cell_angle_alpha 90.00
_cell_angle_beta 119.17
_cell_angle_gamma 90.00
loop_
_atom_site_label
_atom_site_fract_x
_atom_site_fract_y
_atom_site_fract_z
Ba1 0.110 0.163 0.075
Ba2 0.222 0.433 0.311
Cd1 0.000 0.367 0.750
Ir1 0.000 0.002 0.750
# Spin magnetization ... 0.0 μB/cell

---

# Ba5Cd2Ir, relaxed, DFT PBE
data_Ba5Cd2Ir
_chemical_formula_sum 'Ba20 Cd8 Ir4'
_space_group_name_H-M_alt 'C 1 2/c 1'
_space_group_IT_number 15
_space_group_name_Hall '-C 2yc'
_cell_length_a 20.649
_cell_length_b 7.653
_cell_length_c 9.184
_cell_angle_alpha 90.00
_cell_angle_beta 97.36
_cell_angle_gamma 90.00
loop_
_atom_site_label
_atom_site_fract_x
_atom_site_fract_y
_atom_site_fract_z
Ba1 0.000 0.101 0.250
Ba2 0.108 0.361 0.935
Ba3 0.221 0.083 0.306
Cd1 0.105 0.183 0.572
Ir1 0.250 0.250 0.000
# Spin magnetization ... 0.0 μB/cell

---

# Ba8CdIr2, relaxed, DFT PBE
data_Ba8CdIr2
_chemical_formula_sum 'Ba8 Cd1 Ir2'
_space_group_name_H-M_alt 'P -3'
_space_group_IT_number 147
_space_group_name_Hall '-P 3'
_cell_length_a 10.3897
_cell_length_b 10.3897
_cell_length_c 6.5402
_cell_angle_alpha 90.00
_cell_angle_beta 90.00
_cell_angle_gamma 120.00
loop_
_atom_site_label
_atom_site_fract_x
_atom_site_fract_y
_atom_site_fract_z
Ba1 0.1718 0.3458 0.2452
Ba2 0.3333 0.6667 0.7485
Cd1 0.0000 0.0000 0.5000
Ir1 0.3333 0.6667 0.2661
# Spin magnetization ... 0.0 μB/cell

---

# BaCdIr2, relaxed, DFT PBE
data_BaCdIr2
_chemical_formula_sum 'Ba1 Cd1 Ir2'
_space_group_name_H-M_alt 'P 1 2/m 1'
_space_group_IT_number 10
_space_group_name_Hall '-P 2y'
_cell_length_a 5.174
_cell_length_b 3.144
_cell_length_c 5.487
_cell_angle_alpha 90.00
_cell_angle_beta 110.87
_cell_angle_gamma 90.00
loop_
_atom_site_label
_atom_site_fract_x
_atom_site_fract_y
_atom_site_fract_z
Ba1 0.000 0.000 0.000
Cd1 0.000 0.500 0.500
Ir1 0.500 0.000 0.500
Ir2 0.500 0.500 0.000
# Spin magnetization ... 0.0 μB/cell

---

Across the entries above, DOS(E_F) takes the values 0.80, 0.75, 0.95, 0.82, 0.83, 0.67 states/eV per atom, respectively.
Across the entries above, energy of formation from the pure elements takes the values 0.220, -0.118, -0.153, -0.180, 0.033, 0.620 eV/atom, respectively.